Compound: V3Fe3Te2O16
Source: the Alexandria database
Functional: PBE with a Hubbard U
Structure: relaxed

Cell lengths 5.944, 5.980, 10.564 Å; angles 89.69, 89.46, 60.38 degrees
Site moments in Bohr magnetons follow the coordinates.
Atoms (fractional coordinates):
1 V 0.816 0.363 0.757  0.07
2 V 0.118 0.205 0.305  0.04
3 V 0.647 0.146 0.267  0.05
4 Fe 0.332 0.843 0.783  4.32
5 Fe 0.823 0.841 0.783  4.32
6 Fe 0.188 0.655 0.304  4.31
7 Te 0.643 0.722 0.507  0.02
8 Te 0.326 0.340 0.973  0.04
9 O 0.334 0.850 0.399  0.07
10 O 0.518 0.964 0.656  0.16
11 O 0.672 0.648 0.873  0.23
12 O 0.988 0.023 0.701  0.16
13 O 0.006 0.000 0.214  0.07
14 O 0.826 0.855 0.402  0.06
15 O 0.529 0.500 0.671  0.07
16 O 0.968 0.502 0.671  0.07
17 O 0.165 0.663 0.879  0.12
18 O 0.861 0.311 0.404  0.00
19 O 0.032 0.467 0.206  0.07
20 O 0.512 0.453 0.200  0.08
21 O 0.356 0.291 0.387  0.11
22 O 0.169 0.174 0.884  0.08
23 O 0.520 0.010 0.175  0.00
24 O 0.652 0.174 0.884  0.08

Results
Electronic total energy   -6.629 eV/atom